The following is a DFT calculation (GGA-PBE) of a geometry-optimized LiUPb2S6 structure.

Structure (POSCAR):
```
LiUPb2S6
1.0
6.8261 0.0000 0.0000
0.0000 7.1866 0.0000
-6.3252 0.0000 9.8285
Li U Pb S
2 2 4 12
direct
0.0000 0.0000 0.0000 Li
0.0000 0.5000 0.5000 Li
0.5000 0.0000 0.5000 U
0.5000 0.5000 0.0000 U
0.1948 0.0747 0.7189 Pb
0.1948 0.4253 0.2189 Pb
0.8052 0.5747 0.7811 Pb
0.8052 0.9253 0.2811 Pb
0.1492 0.1934 0.4579 S
0.1492 0.3066 0.9579 S
0.2519 0.7073 0.4330 S
0.2519 0.7927 0.9330 S
0.3639 0.0321 0.2506 S
0.3639 0.4679 0.7506 S
0.6361 0.5321 0.2494 S
0.6361 0.9679 0.7494 S
0.7481 0.2073 0.0670 S
0.7481 0.2927 0.5670 S
0.8508 0.6934 0.0421 S
0.8508 0.8066 0.5421 S
```

Electronic total energy, eV per atom: -5.3108
Calculated volume, Å³ per cell: 482